# TcHAu2S, optimized geometry, DFT GGA-PBE
data_TcHAu2S
_chemical_formula_sum 'Tc1 H1 Au2 S1'
_cell_length_a 3.939
_cell_length_b 4.809
_cell_length_c 3.939
_cell_angle_alpha 90.00
_cell_angle_beta 90.00
_cell_angle_gamma 90.00
_symmetry_space_group_name_H-M 'P 1'
_symmetry_Int_Tables_number 1
_symmetry_space_group_name_Hall 'P 1'
loop_
_atom_site_label
_atom_site_type_symbol
_atom_site_fract_x
_atom_site_fract_y
_atom_site_fract_z
_atom_site_occupancy
H1 H 0.000 0.000 0.000 1
S1 S 0.500 0.500 0.500 1
Au1 Au 0.000 0.000 0.500 1
Au2 Au 0.500 0.000 0.000 1
Tc1 Tc 0.000 0.500 0.000 1
# Total DFT energy (no corrections) ... -21.104 eV/f.u.
# SG ... P4/mmm (123)
# Magnetic moment ... 3.11 Bohr magnetons per cell


# SbHAu2, optimized geometry, DFT GGA-PBE
data_SbHAu2
_chemical_formula_sum 'Sb1 H1 Au2'
_cell_length_a 4.660
_cell_length_b 4.660
_cell_length_c 4.660
_cell_angle_alpha 60.00
_cell_angle_beta 60.00
_cell_angle_gamma 60.00
_symmetry_space_group_name_H-M 'P 1'
_symmetry_Int_Tables_number 1
_symmetry_space_group_name_Hall 'P 1'
loop_
_atom_site_label
_atom_site_type_symbol
_atom_site_fract_x
_atom_site_fract_y
_atom_site_fract_z
_atom_site_occupancy
Sb1 Sb 0.500 0.500 0.500 1
Au1 Au 0.250 0.250 0.250 1
Au2 Au 0.750 0.750 0.750 1
H1 H 0.000 0.000 0.000 1
# Total DFT energy (no corrections) ... -11.812 eV/f.u.
# SG ... Fm-3m (225)
# Distance to the lowest polymorph of the same formula ... 358.7 meV per atom
# Magnetic moment ... 0.62 Bohr magnetons per cell


# SbHAu3, optimized geometry, DFT GGA-PBE
data_SbHAu3
_chemical_formula_sum 'Sb1 H1 Au3'
_cell_length_a 5.251
_cell_length_b 5.251
_cell_length_c 5.251
_cell_angle_alpha 90.00
_cell_angle_beta 90.00
_cell_angle_gamma 90.00
_symmetry_space_group_name_H-M 'P 1'
_symmetry_Int_Tables_number 1
_symmetry_space_group_name_Hall 'P 1'
loop_
_atom_site_label
_atom_site_type_symbol
_atom_site_fract_x
_atom_site_fract_y
_atom_site_fract_z
_atom_site_occupancy
Sb1 Sb 0.000 0.000 0.000 1
Au1 Au 0.000 0.500 0.000 1
Au2 Au 0.000 0.000 0.500 1
Au3 Au 0.500 0.000 0.000 1
H1 H 0.500 0.500 0.500 1
# Total DFT energy (no corrections) ... -13.553 eV/f.u.
# SG ... Pm-3m (221)
# Distance to the lowest polymorph of the same formula ... 455.0 meV per atom
# Magnetic moment ... 1.00 Bohr magnetons per cell


DOS at the Fermi energy
In order: 3.34 1.44 0.00
Unit: states/eV/cell